# 1
Compound: CuReB3
Source: the Alexandria database
Functional: PBE-GGA
Structure: relaxed

CIF file:
```
data_CuReB3
_chemical_formula_sum 'Cu1 Re1 B3'
_cell_length_a 3.7385
_cell_length_b 3.7385
_cell_length_c 3.7385
_cell_angle_alpha 90.00
_cell_angle_beta 90.00
_cell_angle_gamma 90.00
_space_group_name_H-M_alt 'P m -3 m'
_space_group_IT_number 221
_space_group_name_Hall '-P 4 2 3'
loop_
_atom_site_label
_atom_site_type_symbol
_atom_site_fract_x
_atom_site_fract_y
_atom_site_fract_z
Cu1 Cu 0.0000 0.0000 0.0000
Re1 Re 0.5000 0.5000 0.5000
B1 B 0.0000 0.0000 0.5000
```

As for the density of states at the Fermi level: 1.090 states/eV per atom. The value obtained for the excess energy over the best structure of this formula in the dataset is 0.6181 eV per atom. The energy relative to the elements comes out at 1820 meV/atom. For the volume, the calculation gives 52.25 Å³/cell. The electronic total energy is -5.495 eV per atom.

# 2
Compound: Cu3ReB
Source: the Alexandria database
Functional: PBE-GGA
Structure: relaxed

CIF file:
```
data_Cu3ReB
_chemical_formula_sum 'Cu3 Re1 B1'
_cell_length_a 3.9067
_cell_length_b 3.9067
_cell_length_c 3.9067
_cell_angle_alpha 90.00
_cell_angle_beta 90.00
_cell_angle_gamma 90.00
_space_group_name_H-M_alt 'P m -3 m'
_space_group_IT_number 221
_space_group_name_Hall '-P 4 2 3'
loop_
_atom_site_label
_atom_site_type_symbol
_atom_site_fract_x
_atom_site_fract_y
_atom_site_fract_z
Cu1 Cu 0.0000 0.0000 0.5000
Re1 Re 0.5000 0.5000 0.5000
B1 B 0.0000 0.0000 0.0000
```

As for the density of states at the Fermi level: 0.549 states/eV per atom. The value obtained for the excess energy over the best structure of this formula in the dataset is 0.0000 eV per atom. The energy relative to the elements comes out at 744 meV/atom. For the volume, the calculation gives 59.62 Å³/cell. The electronic total energy is -5.539 eV per atom.

# 3
Compound: Cu3ReB
Source: the Alexandria database
Functional: PBE-GGA
Structure: relaxed

CIF file:
```
data_Cu3ReB
_chemical_formula_sum 'Cu3 Re1 B1'
_cell_length_a 4.6789
_cell_length_b 4.6789
_cell_length_c 4.6789
_cell_angle_alpha 90.00
_cell_angle_beta 90.00
_cell_angle_gamma 90.00
_space_group_name_H-M_alt 'P m -3 m'
_space_group_IT_number 221
_space_group_name_Hall '-P 4 2 3'
loop_
_atom_site_label
_atom_site_type_symbol
_atom_site_fract_x
_atom_site_fract_y
_atom_site_fract_z
Cu1 Cu 0.0000 0.0000 0.5000
Re1 Re 0.0000 0.0000 0.0000
B1 B 0.5000 0.5000 0.5000
```

As for the density of states at the Fermi level: 1.278 states/eV per atom. The value obtained for the excess energy over the best structure of this formula in the dataset is 1.6319 eV per atom. The energy relative to the elements comes out at 2376 meV/atom. For the volume, the calculation gives 102.43 Å³/cell. The electronic total energy is -3.907 eV per atom.

# 4
Compound: CuReB
Source: the Alexandria database
Functional: PBE-GGA
Structure: relaxed

CIF file:
```
data_CuReB
_chemical_formula_sum 'Cu4 Re4 B4'
_cell_length_a 2.7772
_cell_length_b 14.9912
_cell_length_c 3.5059
_cell_angle_alpha 90.00
_cell_angle_beta 90.00
_cell_angle_gamma 90.00
_space_group_name_H-M_alt 'C m c m'
_space_group_IT_number 63
_space_group_name_Hall '-C 2c 2'
loop_
_atom_site_label
_atom_site_type_symbol
_atom_site_fract_x
_atom_site_fract_y
_atom_site_fract_z
Cu1 Cu 0.0000 0.0551 0.2500
Re1 Re 0.0000 0.1887 0.7500
B1 B 0.0000 0.3336 0.7500
```

As for the density of states at the Fermi level: 0.523 states/eV per atom. The energy relative to the elements comes out at 215 meV/atom. For the volume, the calculation gives 145.97 Å³/cell. The electronic total energy is -7.526 eV per atom.

# 5
Compound: Cu2Re2B
Source: the Alexandria database
Functional: PBE-GGA
Structure: relaxed

CIF file:
```
data_Cu2Re2B
_chemical_formula_sum 'Cu4 Re4 B2'
_cell_length_a 3.0583
_cell_length_b 3.0583
_cell_length_c 13.7453
_cell_angle_alpha 90.00
_cell_angle_beta 90.00
_cell_angle_gamma 90.00
_space_group_name_H-M_alt 'I 4/m m m'
_space_group_IT_number 139
_space_group_name_Hall '-I 4 2'
loop_
_atom_site_label
_atom_site_type_symbol
_atom_site_fract_x
_atom_site_fract_y
_atom_site_fract_z
Cu1 Cu 0.0000 0.5000 0.2500
Re1 Re 0.0000 0.0000 0.0860
B1 B 0.0000 0.0000 0.5000
```

As for the density of states at the Fermi level: 0.772 states/eV per atom. The value obtained for the excess energy over the best structure of this formula in the dataset is 0.4363 eV per atom. The energy relative to the elements comes out at 742 meV/atom. For the volume, the calculation gives 128.56 Å³/cell. The electronic total energy is -7.211 eV per atom.

# 6
Compound: Cu2ReTcB
Source: the Alexandria database
Functional: PBE-GGA
Structure: relaxed

CIF file:
```
data_Cu2ReTcB
_chemical_formula_sum 'Cu2 Re1 Tc1 B1'
_cell_length_a 3.9009
_cell_length_b 3.9009
_cell_length_c 4.1608
_cell_angle_alpha 90.00
_cell_angle_beta 90.00
_cell_angle_gamma 90.00
_space_group_name_H-M_alt 'P 4/m m m'
_space_group_IT_number 123
_space_group_name_Hall '-P 4 2'
loop_
_atom_site_label
_atom_site_type_symbol
_atom_site_fract_x
_atom_site_fract_y
_atom_site_fract_z
Cu1 Cu 0.0000 0.5000 0.0000
Re1 Re 0.0000 0.0000 0.5000
Tc1 Tc 0.5000 0.5000 0.5000
B1 B 0.5000 0.5000 0.0000
```

As for the density of states at the Fermi level: 0.938 states/eV per atom. The energy relative to the elements comes out at 660 meV/atom. For the volume, the calculation gives 63.32 Å³/cell. The electronic total energy is -6.876 eV per atom.

# 7
Compound: CuBRh2
Source: the Alexandria database
Functional: PBE-GGA
Structure: relaxed

CIF file:
```
data_CuBRh2
_chemical_formula_sum 'Cu3 B3 Rh6'
_cell_length_a 2.8052
_cell_length_b 2.8052
_cell_length_c 21.3824
_cell_angle_alpha 90.00
_cell_angle_beta 90.00
_cell_angle_gamma 120.00
_space_group_name_H-M_alt 'R 3 m'
_space_group_IT_number 160
_space_group_name_Hall 'R 3 -2"'
loop_
_atom_site_label
_atom_site_type_symbol
_atom_site_fract_x
_atom_site_fract_y
_atom_site_fract_z
Cu1 Cu 0.0000 0.0000 0.0000
B1 B 0.0000 0.0000 0.8342
Rh1 Rh 0.0000 0.0000 0.2324
Rh2 Rh 0.0000 0.0000 0.4354
```

As for the density of states at the Fermi level: 0.343 states/eV per atom. The energy relative to the elements comes out at -141 meV/atom. For the volume, the calculation gives 145.72 Å³/cell. The electronic total energy is -6.510 eV per atom.

# 8
Compound: CuBRh
Source: the Alexandria database
Functional: PBE-GGA
Structure: relaxed

CIF file:
```
data_CuBRh
_chemical_formula_sum 'Cu4 B4 Rh4'
_cell_length_a 5.1394
_cell_length_b 5.1394
_cell_length_c 5.1394
_cell_angle_alpha 90.00
_cell_angle_beta 90.00
_cell_angle_gamma 90.00
_space_group_name_H-M_alt 'F -4 3 m'
_space_group_IT_number 216
_space_group_name_Hall 'F -4 2 3'
loop_
_atom_site_label
_atom_site_type_symbol
_atom_site_fract_x
_atom_site_fract_y
_atom_site_fract_z
Cu1 Cu 0.0000 0.0000 0.0000
B1 B 0.2500 0.2500 0.7500
Rh1 Rh 0.0000 0.0000 0.5000
```

As for the density of states at the Fermi level: 0.226 states/eV per atom. The energy relative to the elements comes out at -129 meV/atom. For the volume, the calculation gives 135.75 Å³/cell. The electronic total energy is -6.171 eV per atom.

# 9
Compound: CuB2Rh2
Source: the Alexandria database
Functional: PBE-GGA
Structure: relaxed

CIF file:
```
data_CuB2Rh2
_chemical_formula_sum 'Cu2 B4 Rh4'
_cell_length_a 2.8946
_cell_length_b 2.8946
_cell_length_c 13.1309
_cell_angle_alpha 90.00
_cell_angle_beta 90.00
_cell_angle_gamma 90.00
_space_group_name_H-M_alt 'I 4/m m m'
_space_group_IT_number 139
_space_group_name_Hall '-I 4 2'
loop_
_atom_site_label
_atom_site_type_symbol
_atom_site_fract_x
_atom_site_fract_y
_atom_site_fract_z
Cu1 Cu 0.0000 0.0000 0.0000
B1 B 0.0000 0.5000 0.2500
Rh1 Rh 0.0000 0.0000 0.3688
```

As for the density of states at the Fermi level: 0.450 states/eV per atom. The value obtained for the excess energy over the best structure of this formula in the dataset is 0.0205 eV per atom. The energy relative to the elements comes out at -146 meV/atom. For the volume, the calculation gives 110.02 Å³/cell. The electronic total energy is -6.576 eV per atom.

# 10
Compound: CuBRh2
Source: the Alexandria database
Functional: PBE-GGA
Structure: relaxed

CIF file:
```
data_CuBRh2
_chemical_formula_sum 'Cu1 B1 Rh2'
_cell_length_a 2.7215
_cell_length_b 2.7215
_cell_length_c 6.2852
_cell_angle_alpha 90.00
_cell_angle_beta 90.00
_cell_angle_gamma 90.00
_space_group_name_H-M_alt 'P 4/m m m'
_space_group_IT_number 123
_space_group_name_Hall '-P 4 2'
loop_
_atom_site_label
_atom_site_type_symbol
_atom_site_fract_x
_atom_site_fract_y
_atom_site_fract_z
Cu1 Cu 0.0000 0.0000 0.0000
B1 B 0.0000 0.0000 0.5000
Rh1 Rh 0.5000 0.5000 0.2951
```

As for the density of states at the Fermi level: 1.287 states/eV per atom. The energy relative to the elements comes out at -76 meV/atom. For the volume, the calculation gives 46.55 Å³/cell. The electronic total energy is -6.445 eV per atom.

# 11
Compound: CuBRh2
Source: the Alexandria database
Functional: PBE-GGA
Structure: relaxed

CIF file:
```
data_CuBRh2
_chemical_formula_sum 'Cu3 B3 Rh6'
_cell_length_a 2.7899
_cell_length_b 2.7899
_cell_length_c 21.5887
_cell_angle_alpha 90.00
_cell_angle_beta 90.00
_cell_angle_gamma 120.00
_space_group_name_H-M_alt 'R -3 m'
_space_group_IT_number 166
_space_group_name_Hall '-R 3 2"'
loop_
_atom_site_label
_atom_site_type_symbol
_atom_site_fract_x
_atom_site_fract_y
_atom_site_fract_z
Cu1 Cu 0.0000 0.0000 0.0000
B1 B 0.0000 0.0000 0.5000
Rh1 Rh 0.0000 0.0000 0.2322
```

As for the density of states at the Fermi level: 0.261 states/eV per atom. The energy relative to the elements comes out at -136 meV/atom. For the volume, the calculation gives 145.52 Å³/cell. The electronic total energy is -6.505 eV per atom.

# 12
Compound: CuB3Rh6
Source: the Alexandria database
Functional: PBE-GGA
Structure: relaxed

CIF file:
```
data_CuB3Rh6
_chemical_formula_sum 'Cu3 B9 Rh18'
_cell_length_a 5.4279
_cell_length_b 5.4279
_cell_length_c 14.9426
_cell_angle_alpha 90.00
_cell_angle_beta 90.00
_cell_angle_gamma 120.00
_space_group_name_H-M_alt 'R 3'
_space_group_IT_number 146
_space_group_name_Hall 'R 3'
loop_
_atom_site_label
_atom_site_type_symbol
_atom_site_fract_x
_atom_site_fract_y
_atom_site_fract_z
Cu1 Cu 0.0000 0.0000 0.0000
B1 B 0.0000 0.0000 0.2606
B2 B 0.0000 0.0000 0.4551
B3 B 0.0000 0.0000 0.7946
Rh1 Rh 0.0035 0.3416 0.1969
Rh2 Rh 0.1204 0.7836 0.3616
```

As for the density of states at the Fermi level: 1.049 states/eV per atom. The energy relative to the elements comes out at -113 meV/atom. For the volume, the calculation gives 381.26 Å³/cell. The electronic total energy is -6.937 eV per atom.

# 13
Compound: CuB6Rh12
Source: the Alexandria database
Functional: PBE-GGA
Structure: relaxed

CIF file:
```
data_CuB6Rh12
_chemical_formula_sum 'Cu2 B12 Rh24'
_cell_length_a 7.6353
_cell_length_b 7.6353
_cell_length_c 7.6353
_cell_angle_alpha 90.00
_cell_angle_beta 90.00
_cell_angle_gamma 90.00
_space_group_name_H-M_alt 'I m -3'
_space_group_IT_number 204
_space_group_name_Hall '-I 2 2 3'
loop_
_atom_site_label
_atom_site_type_symbol
_atom_site_fract_x
_atom_site_fract_y
_atom_site_fract_z
Cu1 Cu 0.0000 0.0000 0.0000
B1 B 0.0000 0.3799 0.5000
Rh1 Rh 0.0000 0.1825 0.3078
```

As for the density of states at the Fermi level: 0.978 states/eV per atom. The energy relative to the elements comes out at -237 meV/atom. For the volume, the calculation gives 445.11 Å³/cell. The electronic total energy is -7.205 eV per atom.